# PmNdDyTm

Crystalline PmNdDyTm at its relaxed geometry (PBE-GGA, the Alexandria database).

Cell lengths 3.6068, 3.6068, 11.5988 Å; angles 90.00, 90.00, 120.00 degrees
Space group P3m1 (No. 156)
Asymmetric unit:
Pm  0.0000  0.0000  0.0000 x1
Nd  0.3333  0.6667  0.2587 x1
Dy  0.6667  0.3333  0.5091 x1
Tm  0.3333  0.6667  0.7512 x1

**Energy**: -18.55 eV per formula unit
**Formation energy from the elements**: 0.01 eV/atom